Model i:
## BaSnS2N (PBE)

Data for BaSnS2N after structural relaxation.

Cell: 5.775 5.775 4.706 Å, 90.00 90.00 90.00°
Space group P4/mmm (No. 123)
Inequivalent atoms, fractional coordinates:
1 Ba 0.000 0.000 0.000 x1
2 Sn 0.500 0.500 0.500 x1
3 S 0.000 0.500 0.000 x2
4 N 0.000 0.000 0.500 x1

***

Model ii:
## BaSnS2N (PBE)

Data for BaSnS2N after structural relaxation.

Cell: 5.221 5.221 4.222 Å, 90.00 90.00 90.00°
Space group P4/mmm (No. 123)
Inequivalent atoms, fractional coordinates:
1 Ba 0.000 0.000 0.000 x1
2 Sn 0.500 0.500 0.500 x1
3 S 0.000 0.500 0.500 x2
4 N 0.500 0.500 0.000 x1

***

What should be chosen as the most stable of them? Choose model ii.

***

Model i:
## BaTaS2N (PBE)

Data for BaTaS2N after structural relaxation.

Cell: 5.549 5.549 4.149 Å, 90.00 90.00 90.00°
Space group P4/mmm (No. 123)
Inequivalent atoms, fractional coordinates:
1 Ba 0.000 0.000 0.000 x1
2 Ta 0.500 0.500 0.500 x1
3 S 0.000 0.500 0.000 x2
4 N 0.000 0.000 0.500 x1

***

Model ii:
## BaTaS2N (PBE)

Data for BaTaS2N after structural relaxation.

Cell: 5.029 5.029 4.046 Å, 90.00 90.00 90.00°
Space group P4/mmm (No. 123)
Inequivalent atoms, fractional coordinates:
1 Ba 0.000 0.000 0.000 x1
2 Ta 0.500 0.500 0.500 x1
3 S 0.000 0.500 0.500 x2
4 N 0.500 0.500 0.000 x1

***

What should be chosen as the most stable of them? Choose model ii.

***

Model i:
## BaTaSN2 (PBE)

Data for BaTaSN2 after structural relaxation.

Cell: 4.202 4.202 5.041 Å, 90.00 90.00 90.00°
Space group P4/mmm (No. 123)
Inequivalent atoms, fractional coordinates:
1 Ba 0.000 0.000 0.000 x1
2 Ta 0.500 0.500 0.500 x1
3 S 0.500 0.500 0.000 x1
4 N 0.000 0.500 0.500 x2

***

Model ii:
## BaTaSN2 (PBE)

Data for BaTaSN2 after structural relaxation.

Cell: 4.349 4.349 5.746 Å, 90.00 90.00 90.00°
Space group P4/mmm (No. 123)
Inequivalent atoms, fractional coordinates:
1 Ba 0.000 0.000 0.000 x1
2 Ta 0.500 0.500 0.500 x1
3 S 0.000 0.000 0.500 x1
4 N 0.000 0.500 0.000 x2

***

What should be chosen as the most stable of them? Choose model i.